HoEr2OsC2, relaxed, DFT GGA-PBE; size of the total moment = 0.00 μB/f.u.; electronic total energy = -7.49 eV per atom; crystal system = orthorhombic
1.0
5.5418 0.0000 0.0000
0.0000 10.9252 0.0000
0.0000 0.0000 3.6698
Ho Er Os C
2 4 2 4
direct
0.0000 0.0000 0.0000
0.5000 0.5000 0.5000
0.0463 0.2935 0.5000
0.4537 0.7935 0.0000
0.5463 0.2065 0.0000
0.9537 0.7065 0.5000
0.0000 0.5000 0.0000
0.5000 0.0000 0.5000
0.2276 0.8791 0.5000
0.2724 0.3791 0.0000
0.7276 0.6209 0.0000
0.7724 0.1209 0.5000

---

DyTcNi, relaxed, DFT GGA-PBE; size of the total moment = 0.00 μB/f.u.; electronic total energy = -7.16 eV per atom; crystal system = trigonal
1.0
2.6079 1.5057 13.0847
-2.6079 1.5057 13.0847
0.0000 -3.0114 13.0847
Dy Tc Ni
6 6 6
direct
0.0438 0.0438 0.0438
0.1799 0.1799 0.1799
0.2612 0.2612 0.2612
0.7388 0.7388 0.7388
0.8201 0.8201 0.8201
0.9562 0.9562 0.9562
0.0000 0.5000 0.5000
0.3931 0.3931 0.3931
0.5000 0.0000 0.5000
0.5000 0.5000 0.0000
0.5000 0.5000 0.5000
0.6069 0.6069 0.6069
0.2227 0.7190 0.7190
0.2810 0.2810 0.7773
0.2810 0.7773 0.2810
0.7190 0.2227 0.7190
0.7190 0.7190 0.2227
0.7773 0.2810 0.2810

---

LiHfZr2H, relaxed, DFT GGA-PBE; size of the total moment = 0.00 μB/f.u.; electronic total energy = -6.49 eV per atom; crystal system = tetragonal; E above lowest polymorph = 0.00 kcal/mol of atoms
1.0
4.4557 0.0000 0.0000
0.0000 4.4557 0.0000
0.0000 0.0000 4.2538
Li Hf Zr H
1 1 2 1
direct
0.0000 0.0000 0.0000
0.5000 0.5000 0.0000
0.0000 0.5000 0.5000
0.5000 0.0000 0.5000
0.0000 0.0000 0.5000

---

Zr2ZnSi, relaxed, DFT GGA-PBE; size of the total moment = 0.00 μB/f.u.; electronic total energy = -6.10 eV per atom; formation energy from raw total energies = -0.15 eV per atom; crystal system = tetragonal
1.0
7.3586 0.0000 0.0000
0.0000 7.3586 0.0000
0.0000 0.0000 5.8399
Zr Zn Si
8 4 4
direct
0.2420 0.2500 0.1250
0.2500 0.7420 0.3750
0.2500 0.7580 0.8750
0.2580 0.2500 0.6250
0.7420 0.7500 0.6250
0.7500 0.2420 0.8750
0.7500 0.2580 0.3750
0.7580 0.7500 0.1250
0.0000 0.0000 0.5000
0.0000 0.5000 0.7500
0.5000 0.0000 0.2500
0.5000 0.5000 0.0000
0.0000 0.0000 0.0000
0.0000 0.5000 0.2500
0.5000 0.0000 0.7500
0.5000 0.5000 0.5000

---

BaCa2Ga6, relaxed, DFT GGA-PBE; size of the total moment = 0.00 μB/f.u.; electronic total energy = -3.05 eV per atom; crystal system = orthorhombic; E above lowest polymorph = 0.00 kcal/mol of atoms
1.0
-2.1501 4.6940 6.0083
2.1501 -4.6940 6.0083
2.1501 4.6940 -6.0083
Ba Ca Ga
1 2 6
direct
0.0000 0.0000 0.0000
0.3463 0.8463 0.5000
0.6537 0.1537 0.5000
0.0544 0.3085 0.7458
0.3515 0.5000 0.8515
0.4373 0.6915 0.7458
0.5627 0.3085 0.2542
0.6485 0.5000 0.1485
0.9456 0.6915 0.2542

---

VH2Pd, relaxed, DFT GGA-PBE; size of the total moment = 0.00 μB/f.u.; electronic total energy = -5.43 eV per atom; crystal system = trigonal; E above lowest polymorph = 0.00 kcal/mol of atoms
1.0
2.8506 0.0000 0.0000
-1.4253 2.4687 0.0000
0.0000 0.0000 4.8238
V H Pd
1 2 1
direct
0.0000 0.0000 0.0000
0.3333 0.6667 0.1528
0.6667 0.3333 0.8219
0.3333 0.6667 0.5249